A plane-wave DFT calculation with PBE was carried out for a geometry-optimized Pa2TcAg structure.

Values from the calculation:
Formation enthalpy at 0 K   126 meV/atom
Fermi-level density of states   1.681 states/eV/atom
Final energy   -0.29127 Ha/atom
Space group   P4/mmm

Unit cell a=3.3543 b=5.0755 c=5.0755 alpha=90.00 beta=90.00 gamma=90.00
Closest atoms and distances in Å follow each position.
Positions (direct):
Pa (0.0000, 0.5000, 0.0000)  4 Tc 3.04, 4 Ag 3.04, 2 Pa 3.35
Pa (0.0000, 0.0000, 0.5000)  4 Tc 3.04, 4 Ag 3.04, 2 Pa 3.35
Ag (0.5000, 0.5000, 0.5000)  8 Pa 3.04, 2 Ag 3.35
Tc (0.5000, 0.0000, 0.0000)  8 Pa 3.04, 2 Tc 3.35